DFT (PBE) results for Lu2Ag after structural relaxation.

The total energy comes out at -3.521 eV/atom. The value obtained for the formation energy is 0.437 eV/atom.

a = 6.0715 Å, b = 6.0715 Å, c = 6.0715 Å
α = 60.00°, β = 60.00°, γ = 60.00°
Sites, in units of the cell vectors:
Lu  0.0000  0.0000  0.0000
Lu  0.0000  0.0000  0.5000
Lu  0.0000  0.5000  0.0000
Lu  0.5000  0.0000  0.0000
Ag  0.3750  0.3750  0.3750
Ag  0.6250  0.6250  0.6250



DFT (PBE) results for TlAg3PbSe4 after structural relaxation.

The total energy comes out at -3.279 eV/atom.

a = 6.4034 Å, b = 6.4034 Å, c = 6.4034 Å
α = 90.00°, β = 90.00°, γ = 90.00°
Sites, in units of the cell vectors:
Tl  0.0000  0.0000  0.0000
Ag  0.0000  0.5000  0.5000
Ag  0.5000  0.0000  0.5000
Ag  0.5000  0.5000  0.0000
Pb  0.5000  0.5000  0.5000
Se  0.2447  0.2447  0.2447
Se  0.2447  0.7553  0.7553
Se  0.7553  0.2447  0.7553
Se  0.7553  0.7553  0.2447



DFT (PBE) results for SmBeAu4 after structural relaxation.

The total energy comes out at -3.848 eV/atom.

a = 3.5486 Å, b = 3.5486 Å, c = 9.0817 Å
α = 90.00°, β = 90.00°, γ = 90.00°
Sites, in units of the cell vectors:
Sm  0.0000  0.0000  0.0000
Be  0.5000  0.5000  0.5000
Au  0.0000  0.0000  0.3537
Au  0.0000  0.0000  0.6463
Au  0.5000  0.5000  0.1998
Au  0.5000  0.5000  0.8002



DFT (PBE) results for PrHoCu2Sb4 after structural relaxation.

The total energy comes out at -4.797 eV/atom.

a = 4.3429 Å, b = 4.3429 Å, c = 9.9531 Å
α = 90.00°, β = 90.00°, γ = 90.00°
Sites, in units of the cell vectors:
Pr  0.0000  0.0000  0.0000
Ho  0.5000  0.5000  0.5012
Cu  0.0000  0.5000  0.7422
Cu  0.5000  0.0000  0.7422
Sb  0.0000  0.0000  0.5859
Sb  0.0000  0.5000  0.2569
Sb  0.5000  0.0000  0.2569
Sb  0.5000  0.5000  0.8999



DFT (PBE) results for NaFeCuSeS2 after structural relaxation.

The total energy comes out at -4.583 eV/atom.

a = 6.9004 Å, b = 6.9004 Å, c = 9.4272 Å
α = 90.00°, β = 90.00°, γ = 151.05°
Sites, in units of the cell vectors:
Na  0.2367  0.7633  0.7500
Na  0.7633  0.2367  0.2500
Fe  0.0000  0.0000  0.0000
Fe  0.0000  0.0000  0.5000
Cu  0.4534  0.5466  0.2500
Cu  0.5466  0.4534  0.7500
Se  0.0784  0.9216  0.2500
Se  0.9216  0.0784  0.7500
S  0.3852  0.6148  0.0369
S  0.3852  0.6148  0.4631
S  0.6148  0.3852  0.5369
S  0.6148  0.3852  0.9631



DFT (PBE) results for GaHgMo after structural relaxation.

The total energy comes out at -3.972 eV/atom. For the energy above the most stable polymorph in this dataset, the calculation gives 58 meV per atom.

a = 4.4962 Å, b = 4.4962 Å, c = 4.4962 Å
α = 60.00°, β = 60.00°, γ = 60.00°
Sites, in units of the cell vectors:
Ga  0.0000  0.0000  0.0000
Hg  0.5000  0.5000  0.5000
Mo  0.2500  0.2500  0.2500



DFT (PBE) results for Rb2ZrOsO6 after structural relaxation.

The total energy comes out at -7.045 eV/atom.

a = 5.7377 Å, b = 5.7377 Å, c = 5.7377 Å
α = 60.00°, β = 60.00°, γ = 60.00°
Sites, in units of the cell vectors:
Rb  0.2500  0.2500  0.2500
Rb  0.7500  0.7500  0.7500
Zr  0.0000  0.0000  0.0000
Os  0.5000  0.5000  0.5000
O  0.2614  0.2614  0.7386
O  0.2614  0.7386  0.2614
O  0.2614  0.7386  0.7386
O  0.7386  0.2614  0.2614
O  0.7386  0.2614  0.7386
O  0.7386  0.7386  0.2614



DFT (PBE) results for Si4IrPt3 after structural relaxation.

The total energy comes out at -6.606 eV/atom.

a = 5.4892 Å, b = 3.7314 Å, c = 6.1479 Å
α = 90.00°, β = 109.90°, γ = 90.00°
Sites, in units of the cell vectors:
Si  0.0000  0.0000  0.0000
Si  0.1381  0.5000  0.6951
Si  0.6867  0.0000  0.4857
Si  0.8308  0.5000  0.2085
Ir  0.0978  0.0000  0.4099
Pt  0.3818  0.0000  0.9088
Pt  0.4361  0.5000  0.2838
Pt  0.7252  0.5000  0.7871



DFT (PBE) results for HfAlSi after structural relaxation.

The total energy comes out at -6.115 eV/atom.

a = 4.4710 Å, b = 4.4710 Å, c = 4.4710 Å
α = 60.00°, β = 60.00°, γ = 60.00°
Sites, in units of the cell vectors:
Hf  0.0000  0.0000  0.0000
Al  0.7500  0.7500  0.7500
Si  0.2500  0.2500  0.2500



DFT (PBE) results for Rb2Dy4Cu4Se9 after structural relaxation.

The total energy comes out at -4.793 eV/atom.

a = 7.5236 Å, b = 7.5236 Å, c = 16.5969 Å
α = 108.29°, β = 108.29°, γ = 31.82°
Sites, in units of the cell vectors:
Rb  0.0307  0.0307  0.2712
Rb  0.9693  0.9693  0.7288
Dy  0.2303  0.2303  0.1023
Dy  0.3456  0.3456  0.4442
Dy  0.6544  0.6544  0.5558
Dy  0.7697  0.7697  0.8977
Cu  0.2460  0.2460  0.7304
Cu  0.4256  0.4256  0.0312
Cu  0.5744  0.5744  0.9688
Cu  0.7540  0.7540  0.2696
Se  0.0000  0.0000  0.5000
Se  0.1377  0.1377  0.9229
Se  0.2977  0.2977  0.6012
Se  0.3477  0.3477  0.2758
Se  0.3941  0.3941  0.8731
Se  0.6059  0.6059  0.1269
Se  0.6523  0.6523  0.7242
Se  0.7023  0.7023  0.3988
Se  0.8623  0.8623  0.0771



DFT (PBE) results for SmP2Pd4 after structural relaxation.

The total energy comes out at -5.999 eV/atom.

a = 6.9612 Å, b = 6.9612 Å, c = 4.1945 Å
α = 90.00°, β = 90.00°, γ = 145.20°
Sites, in units of the cell vectors:
Sm  0.0000  0.0000  0.0000
P  0.4151  0.5849  0.5000
P  0.5849  0.4151  0.5000
Pd  0.1749  0.8251  0.5000
Pd  0.3283  0.6717  0.0000
Pd  0.6717  0.3283  0.0000
Pd  0.8251  0.1749  0.5000



DFT (PBE) results for TlCuPbS3 after structural relaxation.

The total energy comes out at -3.891 eV/atom. For the energy above the most stable polymorph in this dataset, the calculation gives 7 meV per atom.

a = 6.6347 Å, b = 6.6347 Å, c = 11.0479 Å
α = 90.00°, β = 90.00°, γ = 144.90°
Sites, in units of the cell vectors:
Tl  0.2233  0.7767  0.7500
Tl  0.7767  0.2233  0.2500
Cu  0.0750  0.9250  0.2500
Cu  0.9250  0.0750  0.7500
Pb  0.5000  0.5000  0.0000
Pb  0.5000  0.5000  0.5000
S  0.1445  0.8555  0.0596
S  0.1445  0.8555  0.4404
S  0.4694  0.5306  0.2500
S  0.5306  0.4694  0.7500
S  0.8555  0.1445  0.5596
S  0.8555  0.1445  0.9404



DFT (PBE) results for YTa2Ga after structural relaxation.

The total energy comes out at -8.155 eV/atom.

a = 4.8169 Å, b = 4.8169 Å, c = 4.8169 Å
α = 60.00°, β = 60.00°, γ = 60.00°
Sites, in units of the cell vectors:
Y  0.0000  0.0000  0.0000
Ta  0.2500  0.2500  0.2500
Ta  0.5000  0.5000  0.5000
Ga  0.7500  0.7500  0.7500



DFT (PBE) results for LiGeAu2 after structural relaxation.

The total energy comes out at -3.519 eV/atom.

a = 4.6086 Å, b = 4.6086 Å, c = 7.9213 Å
α = 90.00°, β = 90.00°, γ = 120.00°
Sites, in units of the cell vectors:
Li  0.0000  0.0000  0.0000
Li  0.0000  0.0000  0.5000
Ge  0.3333  0.6667  0.2500
Ge  0.6667  0.3333  0.7500
Au  0.3333  0.6667  0.5792
Au  0.3333  0.6667  0.9208
Au  0.6667  0.3333  0.0792
Au  0.6667  0.3333  0.4208



DFT (PBE) results for Li2Ir2Se3S after structural relaxation.

The total energy comes out at -4.868 eV/atom.

a = 6.4205 Å, b = 6.4205 Å, c = 6.0267 Å
α = 116.85°, β = 116.85°, γ = 55.26°
Sites, in units of the cell vectors:
Li  0.1180  0.1180  0.3560
Li  0.8820  0.8820  0.6440
Ir  0.4029  0.3645  0.1236
Ir  0.6355  0.5971  0.8764
Se  0.0150  0.4830  0.7756
Se  0.2873  0.7127  0.5000
Se  0.5170  0.9850  0.2244
S  0.7359  0.2641  0.0000



DFT (PBE) results for SmGa8Fe2 after structural relaxation.

The total energy comes out at -4.466 eV/atom.

a = 12.4228 Å, b = 14.4356 Å, c = 4.0097 Å
α = 90.00°, β = 90.00°, γ = 90.00°
Sites, in units of the cell vectors:
Sm  0.1567  0.1808  0.0000
Sm  0.3433  0.6808  0.0000
Sm  0.6567  0.3192  0.0000
Sm  0.8433  0.8192  0.0000
Ga  0.0000  0.0000  0.0000
Ga  0.0000  0.5000  0.5000
Ga  0.0237  0.8668  0.5000
Ga  0.0492  0.3179  0.5000
Ga  0.0986  0.7459  0.0000
Ga  0.1619  0.4545  0.0000
Ga  0.1644  0.6214  0.5000
Ga  0.1684  0.0100  0.5000
Ga  0.2393  0.8253  0.5000
Ga  0.2607  0.3253  0.5000
Ga  0.3316  0.5100  0.5000
Ga  0.3356  0.1214  0.5000
Ga  0.3381  0.9545  0.0000
Ga  0.4014  0.2459  0.0000
Ga  0.4508  0.8179  0.5000
Ga  0.4763  0.3668  0.5000
Ga  0.5000  0.0000  0.5000
Ga  0.5000  0.5000  0.0000
Ga  0.5237  0.6332  0.5000
Ga  0.5492  0.1821  0.5000
Ga  0.5986  0.7541  0.0000
Ga  0.6619  0.0455  0.0000
Ga  0.6644  0.8786  0.5000
Ga  0.6684  0.4900  0.5000
Ga  0.7393  0.6747  0.5000
Ga  0.7607  0.1747  0.5000
Ga  0.8316  0.9900  0.5000
Ga  0.8356  0.3786  0.5000
Ga  0.8381  0.5455  0.0000
Ga  0.9014  0.2541  0.0000
Ga  0.9508  0.6821  0.5000
Ga  0.9763  0.1332  0.5000
Fe  0.0347  0.5929  0.0000
Fe  0.1517  0.9027  0.0000
Fe  0.3483  0.4027  0.0000
Fe  0.4653  0.0929  0.0000
Fe  0.5347  0.9071  0.0000
Fe  0.6517  0.5973  0.0000
Fe  0.8483  0.0973  0.0000
Fe  0.9653  0.4071  0.0000



DFT (PBE) results for Hf3B2Au after structural relaxation.

The total energy comes out at -8.234 eV/atom.

a = 3.4227 Å, b = 3.4227 Å, c = 19.4558 Å
α = 90.00°, β = 90.00°, γ = 120.00°
Sites, in units of the cell vectors:
Hf  0.0000  0.0000  0.0000
Hf  0.0000  0.0000  0.5000
Hf  0.3333  0.6667  0.1384
Hf  0.3333  0.6667  0.3616
Hf  0.6667  0.3333  0.6384
Hf  0.6667  0.3333  0.8616
B  0.3333  0.6667  0.5742
B  0.3333  0.6667  0.9258
B  0.6667  0.3333  0.0742
B  0.6667  0.3333  0.4258
Au  0.0000  0.0000  0.2500
Au  0.0000  0.0000  0.7500



DFT (PBE) results for ErNbSb2 after structural relaxation.

The total energy comes out at -6.030 eV/atom.

a = 4.1686 Å, b = 4.1686 Å, c = 5.8594 Å
α = 90.00°, β = 90.00°, γ = 90.00°
Sites, in units of the cell vectors:
Er  0.0000  0.0000  0.0000
Nb  0.5000  0.5000  0.5000
Sb  0.0000  0.0000  0.5000
Sb  0.5000  0.5000  0.0000



DFT (PBE) results for LiSmBi after structural relaxation.

The total energy comes out at -4.031 eV/atom. For the energy above the most stable polymorph in this dataset, the calculation gives 0 meV per atom.

a = 5.0548 Å, b = 5.0548 Å, c = 5.0548 Å
α = 60.00°, β = 60.00°, γ = 60.00°
Sites, in units of the cell vectors:
Li  0.0000  0.0000  0.0000
Sm  0.5000  0.5000  0.5000
Bi  0.2500  0.2500  0.2500



DFT (PBE) results for SrTaBe after structural relaxation.

The total energy comes out at -4.402 eV/atom. For the energy above the most stable polymorph in this dataset, the calculation gives 0 meV per atom.

a = 4.6232 Å, b = 4.6232 Å, c = 4.6232 Å
α = 60.00°, β = 60.00°, γ = 60.00°
Sites, in units of the cell vectors:
Sr  0.0000  0.0000  0.0000
Ta  0.5000  0.5000  0.5000
Be  0.2500  0.2500  0.2500